# 1
Below is an optimized crystal structure of NdZrZn, with properties calculated at the GGA-PBE level.

```
NdZrZn
1.0
0.000 3.407 3.407
3.407 0.000 3.407
3.407 3.407 0.000
Zn Zr Nd
1 1 1
Cartesian
0.000 0.000 0.000
5.111 5.111 5.111
1.704 1.704 1.704
```

Calculated values
ΔE to the lowest computed polymorph: 0.000 eV/f.u.
Formation enthalpy at 0 K: 0.24 eV/atom
Crystal system: cubic


# 2
Below is an optimized crystal structure of HfMg2Cu, with properties calculated at the GGA-PBE level.

```
HfMg2Cu
1.0
0.000 3.303 3.303
3.303 0.000 3.303
3.303 3.303 0.000
Mg Cu Hf
2 1 1
Cartesian
4.955 4.955 4.955
0.000 0.000 0.000
1.652 1.652 1.652
3.303 3.303 3.303
```

Calculated values
ΔE to the lowest computed polymorph: 0.000 eV/f.u.
Crystal system: cubic


# 3
Below is an optimized crystal structure of TbGa5, with properties calculated at the GGA-PBE level.

```
TbGa5
1.0
5.547 0.000 0.000
-2.773 4.804 0.000
0.000 0.000 4.436
Tb Ga
1 5
Cartesian
0.000 0.000 0.000
-1.387 2.402 2.218
2.773 1.601 0.000
2.773 0.000 2.218
1.387 2.402 2.218
0.000 3.202 0.000
```

Calculated values
Crystal system: hexagonal


# 4
Below is an optimized crystal structure of Rb4CuAgAs2, with properties calculated at the GGA-PBE level.

```
Rb4CuAgAs2
1.0
-5.729 0.530 3.329
-0.138 -5.893 -3.073
2.782 -2.561 4.999
Rb As Ag Cu
4 2 1 1
Cartesian
0.981 -4.895 2.757
-0.917 -2.714 4.931
-2.167 -5.210 0.324
-4.066 -3.029 2.498
-2.331 -6.045 4.028
-0.753 -1.879 1.227
1.391 -1.281 2.500
0.000 0.000 0.000
```

Calculated values
Crystal system: monoclinic


Record order is preserved below.
VASP energy: -4.62; -4.10; -3.47; -2.80 eV/atom